Density functional theory data (PBE) for a relaxed structure of Pm8Dy5Er.

Raw total energy: -4.4299 eV per atom
Volume: 478.72 Å³/cell

Cell lengths 8.5438, 8.5392, 8.5438 Å; angles 110.97, 106.48, 111.02 degrees
Closest atoms and distances in Å follow each position.
Fractional positions:
Pm 0.1649 0.7337 0.0745  4 Dy 3.17-3.51, 1 Er 3.23
Pm 0.9241 0.0904 0.6583  4 Dy 3.17-3.51, 1 Er 3.23
Pm 0.7320 0.2578 0.3361  5 Dy 3.37-3.60, 4 Pm 3.60-3.77
Pm 0.6640 0.3952 0.9214  5 Dy 3.37-3.59, 3 Pm 3.62-3.69
Pm 0.5262 0.6048 0.2688  5 Dy 3.37-3.59, 3 Pm 3.62-3.69
Pm 0.5679 0.9096 0.8337  4 Dy 3.17-3.51, 1 Er 3.23
Pm 0.3408 0.2663 0.4312  4 Dy 3.17-3.51, 1 Er 3.23
Pm 0.0783 0.7422 0.4742  5 Dy 3.37-3.60, 4 Pm 3.60-3.77
Dy 0.0336 0.3138 0.1310  8 Pm 3.36-3.61, 2 Dy 3.52-3.53
Dy 0.8675 0.9014 0.1816  8 Pm 3.37-3.61, 2 Dy 3.52-3.53
Dy 0.8172 0.6862 0.7198  8 Pm 3.36-3.61, 2 Dy 3.52-3.53
Dy 0.4993 0.0000 0.4993  8 Pm 3.17-3.37
Dy 0.2801 0.0986 0.9660  8 Pm 3.37-3.61, 2 Dy 3.52-3.53
Er 0.2542 0.5000 0.7542  4 Pm 3.23


Density functional theory data (PBE) for a relaxed structure of Ta2BeCo.

Raw total energy: -8.3470 eV per atom
Volume: 58.29 Å³/cell

Cell lengths 8.7231, 8.7231, 8.7231 Å; angles 18.49, 18.49, 18.49 degrees
Closest atoms and distances in Å follow each position.
Fractional positions:
Be 0.2500 0.2500 0.2500  6 Ta 2.70, 6 Be 2.80
Co 0.7500 0.7500 0.7500  6 Ta 2.67, 6 Co 2.80
Ta 0.0008 0.0008 0.0008  3 Co 2.67, 3 Be 2.70, 6 Ta 2.80
Ta 0.4992 0.4992 0.4992  3 Co 2.67, 3 Be 2.70, 6 Ta 2.80


Density functional theory data (PBE) for a relaxed structure of Mn2BeAs.

Raw total energy: -6.5455 eV per atom
Polymorph energy (0 for the lowest one): 176 meV/atom
Volume: 45.71 Å³/cell

Cell lengths 4.0132, 4.0132, 4.0132 Å; angles 60.00, 60.00, 60.00 degrees
Closest atoms and distances in Å follow each position.
Fractional positions:
Be 0.7500 0.7500 0.7500  4 Mn 2.46, 4 As 2.46
As 0.5000 0.5000 0.5000  4 Mn 2.46, 4 Be 2.46
Mn 0.0000 0.0000 0.0000  4 Mn 2.46, 4 Be 2.46
Mn 0.2500 0.2500 0.2500  4 As 2.46, 4 Mn 2.46


Density functional theory data (PBE) for a relaxed structure of Tb3Y3Th.

Raw total energy: -5.6654 eV per atom
Polymorph energy (0 for the lowest one): 121 meV/atom
Volume: 460.74 Å³/cell

Cell lengths 6.6042, 6.6042, 10.6202 Å; angles 90.68, 90.68, 95.82 degrees
Closest atoms and distances in Å follow each position.
Fractional positions:
Tb 0.3238 0.3238 0.4373  1 Y 3.27, 5 Tb 3.37-3.49
Tb 0.8105 0.1895 0.5000  4 Y 3.24-3.46, 4 Tb 3.48-3.49
Tb 0.1895 0.8105 0.5000  4 Y 3.24-3.46, 4 Tb 3.48-3.49
Tb 0.8163 0.1837 0.0000  4 Y 3.23-3.38, 4 Th 3.53-3.56, 1 Tb 3.60
Tb 0.1837 0.8163 0.0000  4 Y 3.23-3.38, 4 Th 3.53-3.56, 1 Tb 3.60
Tb 0.6762 0.6762 0.5627  1 Y 3.27, 5 Tb 3.37-3.49
Y 0.0251 0.0251 0.2518  5 Tb 3.23-3.27, 1 Th 3.34, 4 Y 3.43-3.48
Y 0.1285 0.4868 0.7535  2 Tb 3.38-3.46, 3 Y 3.43-3.51
Y 0.4868 0.1285 0.7535  2 Tb 3.38-3.46, 3 Y 3.43-3.51
Y 0.8715 0.5132 0.2465  2 Tb 3.38-3.46, 3 Y 3.43-3.51
Y 0.5132 0.8715 0.2465  2 Tb 3.38-3.46, 3 Y 3.43-3.51
Y 0.9749 0.9749 0.7482  5 Tb 3.23-3.27, 1 Th 3.34, 4 Y 3.43-3.48
Th 0.3355 0.3355 0.0778  1 Y 3.34, 1 Th 3.37, 4 Tb 3.53-3.56
Th 0.6645 0.6645 0.9222  1 Y 3.34, 1 Th 3.37, 4 Tb 3.53-3.56


Density functional theory data (PBE) for a relaxed structure of PrTlPb.

Raw total energy: -3.9196 eV per atom
Polymorph energy (0 for the lowest one): 66 meV/atom
Volume: 182.62 Å³/cell

Cell lengths 4.5666, 4.8955, 8.5278 Å; angles 106.68, 90.00, 90.00 degrees
Closest atoms and distances in Å follow each position.
Fractional positions:
Pr 0.2500 0.0924 0.1847  6 Tl 3.37-3.60, 4 Pb 3.49-3.50
Pr 0.7500 0.9076 0.8153  6 Tl 3.37-3.60, 4 Pb 3.49-3.50
Tl 0.2500 0.4305 0.8610  2 Tl 3.22, 6 Pr 3.37-3.60
Tl 0.7500 0.5695 0.1390  2 Tl 3.22, 6 Pr 3.37-3.60
Pb 0.2500 0.7458 0.4915  4 Pb 3.35, 4 Pr 3.49-3.50, 2 Tl 3.67
Pb 0.7500 0.2542 0.5085  4 Pb 3.35, 4 Pr 3.49-3.50, 2 Tl 3.67


Density functional theory data (PBE) for a relaxed structure of Pm4Ho3Cd.

Raw total energy: -4.2668 eV per atom
Volume: 252.90 Å³/cell

Cell lengths 3.6215, 3.6215, 19.2827 Å; angles 90.00, 90.00, 90.00 degrees
Closest atoms and distances in Å follow each position.
Fractional positions:
Cd 0.5000 0.5000 0.0000  8 Pm 3.33, 4 Cd 3.62
Ho 0.5000 0.5000 0.2407  8 Pm 3.58-3.59, 4 Ho 3.62
Ho 0.5000 0.5000 0.5000  8 Pm 3.57, 4 Ho 3.62
Ho 0.5000 0.5000 0.7593  8 Pm 3.58-3.59, 4 Ho 3.62
Pm 0.0000 0.0000 0.8896  4 Cd 3.33, 4 Ho 3.59, 4 Pm 3.62
Pm 0.0000 0.0000 0.1104  4 Cd 3.33, 4 Ho 3.59, 4 Pm 3.62
Pm 0.0000 0.0000 0.3707  8 Ho 3.57-3.58, 4 Pm 3.62
Pm 0.0000 0.0000 0.6293  8 Ho 3.57-3.58, 4 Pm 3.62


Density functional theory data (PBE) for a relaxed structure of ErZrTlHg.

Raw total energy: -4.1378 eV per atom
Volume: 95.94 Å³/cell

Cell lengths 5.1385, 5.1385, 5.1385 Å; angles 60.00, 60.00, 60.00 degrees
Closest atoms and distances in Å follow each position.
Fractional positions:
Tl 0.7500 0.7500 0.7500  4 Er 3.15, 4 Zr 3.15
Hg 0.2500 0.2500 0.2500  4 Zr 3.15, 4 Er 3.15
Zr 0.0000 0.0000 0.0000  4 Tl 3.15, 4 Hg 3.15
Er 0.5000 0.5000 0.5000  4 Hg 3.15, 4 Tl 3.15


Density functional theory data (PBE) for a relaxed structure of KSrPb2.

Raw total energy: -2.8349 eV per atom
Polymorph energy (0 for the lowest one): 26 meV/atom
Volume: 139.92 Å³/cell

Cell lengths 3.6227, 3.6227, 10.6609 Å; angles 90.00, 90.00, 90.04 degrees
Closest atoms and distances in Å follow each position.
Fractional positions:
K 0.5000 0.5000 0.7500  4 K 3.62, 8 Pb 3.78
Pb 0.0000 0.0000 0.0109  4 Sr 3.61, 4 Pb 3.62, 4 K 3.78
Pb 0.0000 0.0000 0.4891  4 Sr 3.61, 4 Pb 3.62, 4 K 3.78
Sr 0.5000 0.5000 0.2500  8 Pb 3.61, 4 Sr 3.62


Density functional theory data (PBE) for a relaxed structure of LiCaPt2.

Raw total energy: -4.6512 eV per atom
Polymorph energy (0 for the lowest one): 9 meV/atom
Volume: 69.63 Å³/cell

Cell lengths 4.9826, 4.9826, 4.9826 Å; angles 130.64, 130.64, 72.39 degrees
Closest atoms and distances in Å follow each position.
Fractional positions:
Ca 0.2500 0.7500 0.5000  8 Pt 2.89, 4 Li 2.94
Li 0.7500 0.2500 0.5000  8 Pt 2.89, 4 Ca 2.94
Pt 0.0000 0.0000 0.0000  4 Li 2.89, 4 Ca 2.89, 4 Pt 2.94
Pt 0.5000 0.5000 0.0000  4 Li 2.89, 4 Ca 2.89, 4 Pt 2.94


Density functional theory data (PBE) for a relaxed structure of Cr2C.

Raw total energy: -7.9865 eV per atom
Volume: 29.99 Å³/cell

Cell lengths 3.7044, 3.7044, 2.5238 Å; angles 90.00, 90.00, 120.00 degrees
Closest atoms and distances in Å follow each position.
Fractional positions:
Cr 0.3333 0.6667 0.5000  3 Cr 2.14
Cr 0.6667 0.3333 0.5000  3 Cr 2.14
C 0.0000 0.0000 0.0000  12 Cr 2.48, 2 C 2.52


Density functional theory data (PBE) for a relaxed structure of La2Ce3ThTe6.

Raw total energy: -5.8750 eV per atom
Formation energy from raw total energies: -1381 meV per atom
Volume: 390.52 Å³/cell

Cell lengths 4.4882, 9.0846, 10.1307 Å; angles 103.82, 102.80, 90.00 degrees
Closest atoms and distances in Å follow each position.
Fractional positions:
La 0.8351 0.6690 0.6702  6 Te 3.21-3.23
La 0.1649 0.3310 0.3298  6 Te 3.21-3.23
Ce 0.5000 0.5000 0.0000  6 Te 3.19
Ce 0.8325 0.1651 0.6651  6 Te 3.16-3.18
Ce 0.1675 0.8349 0.3349  6 Te 3.16-3.18
Th 0.5000 0.0000 0.0000  6 Te 3.19-3.20
Te 0.3335 0.9206 0.6670  3 Ce 3.16-3.18, 1 Th 3.19, 2 La 3.21
Te 0.6663 0.5867 0.3326  3 Ce 3.18-3.19, 3 La 3.23
Te 0.6665 0.0794 0.3330  3 Ce 3.16-3.18, 1 Th 3.19, 2 La 3.21
Te 0.9976 0.2496 0.9951  3 Ce 3.16-3.19, 2 Th 3.20, 1 La 3.21
Te 0.0024 0.7504 0.0049  3 Ce 3.16-3.19, 2 Th 3.20, 1 La 3.21
Te 0.3337 0.4133 0.6674  3 Ce 3.18-3.19, 3 La 3.23


Density functional theory data (PBE) for a relaxed structure of Pa2CoH.

Raw total energy: -7.4905 eV per atom
Polymorph energy (0 for the lowest one): 0 meV/atom
Volume: 66.05 Å³/cell

Cell lengths 3.3445, 3.3445, 7.0860 Å; angles 76.35, 76.35, 60.00 degrees
Closest atoms and distances in Å follow each position.
Fractional positions:
H 0.5000 0.5000 0.5000  6 Pa 2.49
Pa 0.2432 0.2432 0.2705  3 H 2.49, 3 Co 2.67
Pa 0.7568 0.7568 0.7295  3 H 2.49, 3 Co 2.67
Co 0.0000 0.0000 0.0000  6 Pa 2.67